Record 1
! CdCu2Te | Alexandria | PBE | optimized geometry; values from VASP
&SYSTEM
  ibrav = 0, nat = 4, ntyp = 3
/
ATOMIC_SPECIES
Cd 112.41 Cd.upf
Cu 63.55 Cu.upf
Te 127.60 Te.upf
CELL_PARAMETERS angstrom
4.3813 0.0000 0.0000
0.0000 4.3917 0.0193
0.0000 0.9975 4.2680
ATOMIC_POSITIONS crystal
Cd 0.5000 0.8091 0.8091
Cu 0.0000 0.0432 0.0437
Cu 0.5000 0.2141 0.2134
Te 0.0000 0.4336 0.4338
! - crystal system = orthorhombic
! - DFT total energy (eV/atom) = -2.951
! - energy relative to the elements, uncorrected (eV per formula unit) = 0.4
! - polymorph energy (0 for the lowest one) (meV/atom) = 9

Record 2
! CdCuTe2 | Alexandria | PBE | optimized geometry; values from VASP
&SYSTEM
  ibrav = 0, nat = 4, ntyp = 3
/
ATOMIC_SPECIES
Cd 112.41 Cd.upf
Cu 63.55 Cu.upf
Te 127.60 Te.upf
CELL_PARAMETERS angstrom
3.8663 0.0000 0.0000
0.0000 3.8663 0.0000
0.0000 0.0000 7.5562
ATOMIC_POSITIONS crystal
Cd 0.0000 0.0000 0.5010
Cu 0.5000 0.5000 0.7602
Te 0.0000 0.0000 0.8721
Te 0.5000 0.5000 0.3667
! - crystal system = tetragonal
! - DFT total energy (eV/atom) = -2.821
! - energy relative to the elements, uncorrected (eV per formula unit) = 0.0

Record 3
! CdCu2Te | Alexandria | PBE | optimized geometry; values from VASP
&SYSTEM
  ibrav = 0, nat = 4, ntyp = 3
/
ATOMIC_SPECIES
Cd 112.41 Cd.upf
Cu 63.55 Cu.upf
Te 127.60 Te.upf
CELL_PARAMETERS angstrom
-0.1535 -3.7521 0.3744
2.8093 -0.3638 -2.4935
3.6044 0.2540 4.0238
ATOMIC_POSITIONS crystal
Cd 0.5000 0.5000 0.8022
Cu 0.0000 0.0000 0.9659
Cu 0.5000 0.5000 0.2837
Te 0.0000 0.0000 0.4482
! - crystal system = tetragonal
! - DFT total energy (eV/atom) = -2.893
! - energy relative to the elements, uncorrected (eV per formula unit) = 0.7
! - polymorph energy (0 for the lowest one) (meV/atom) = 66

Record 4
! CdCu2Te | Alexandria | PBE | optimized geometry; values from VASP
&SYSTEM
  ibrav = 0, nat = 4, ntyp = 3
/
ATOMIC_SPECIES
Cd 112.41 Cd.upf
Cu 63.55 Cu.upf
Te 127.60 Te.upf
CELL_PARAMETERS angstrom
3.5760 0.0000 0.0000
0.0000 3.5760 0.0000
0.0000 0.0000 5.8059
ATOMIC_POSITIONS crystal
Cd 0.5000 0.5000 0.7500
Cu 0.0000 0.0000 0.9857
Cu 0.0000 0.0000 0.5143
Te 0.5000 0.5000 0.2500
! - crystal system = tetragonal
! - DFT total energy (eV/atom) = -2.852
! - energy relative to the elements, uncorrected (eV per formula unit) = 0.8
! - polymorph energy (0 for the lowest one) (meV/atom) = 107

Record 5
! CdCuTe | Alexandria | PBE | optimized geometry; values from VASP
&SYSTEM
  ibrav = 0, nat = 3, ntyp = 3
/
ATOMIC_SPECIES
Cd 112.41 Cd.upf
Cu 63.55 Cu.upf
Te 127.60 Te.upf
CELL_PARAMETERS angstrom
-2.7251 1.9263 3.7823
-1.1960 -3.6058 3.3182
4.3787 1.3853 -2.0859
ATOMIC_POSITIONS crystal
Cd 0.0099 0.0099 0.0000
Cu 0.3331 0.3331 0.0000
Te 0.6570 0.6570 0.0000
! - crystal system = tetragonal
! - DFT total energy (eV/atom) = -2.501
! - energy relative to the elements, uncorrected (eV per formula unit) = 0.7
! - polymorph energy (0 for the lowest one) (meV/atom) = 206

Record 6
! CdCu4Te | Alexandria | PBE | optimized geometry; values from VASP
&SYSTEM
  ibrav = 0, nat = 6, ntyp = 3
/
ATOMIC_SPECIES
Cd 112.41 Cd.upf
Cu 63.55 Cu.upf
Te 127.60 Te.upf
CELL_PARAMETERS angstrom
0.0000 3.6290 3.6290
3.6290 0.0000 3.6290
3.6290 3.6290 0.0000
ATOMIC_POSITIONS crystal
Cd 0.0000 0.0000 0.0000
Cu 0.8766 0.3745 0.3745
Cu 0.3745 0.3745 0.8766
Cu 0.3745 0.8766 0.3745
Cu 0.3745 0.3745 0.3745
Te 0.7500 0.7500 0.7500
! - crystal system = cubic
! - DFT total energy (eV/atom) = -3.306
! - energy relative to the elements, uncorrected (eV per formula unit) = 0.6

Q: energy relative to the elements, uncorrected of number 3 (CdCu2Te)?
A: 0.7 eV per formula unit